Below is a relaxed structure of Li2AuCl, with properties calculated at the GGA-PBEsol level.

Lattice parameters (Å, degrees): 5.061 5.061 5.061 139.11 101.81 92.26
Sites, in units of the cell vectors:
Li 0.221 0.221 0.000
Li 0.779 0.779 0.000
Au 0.500 0.000 0.500
Cl 0.000 0.500 0.500

Uncorrected formation energy, eV per formula unit: -3.1
E_tot, eV per atom: -3.245
Offset from the most stable computed form, meV per atom: 172

Below is a relaxed structure of GaPd3N, with properties calculated at the GGA-PBEsol level.

Lattice parameters (Å, degrees): 4.086 4.086 4.086 90.00 90.00 90.00
Sites, in units of the cell vectors:
Ga 0.000 0.000 0.000
Pd 0.000 0.500 0.500
Pd 0.500 0.000 0.500
Pd 0.500 0.500 0.000
N 0.500 0.500 0.500

Uncorrected formation energy, eV per formula unit: 0.2
E_tot, eV per atom: -5.909

Below is a relaxed structure of SrHgCl2, with properties calculated at the GGA-PBEsol level.

Lattice parameters (Å, degrees): 5.209 5.209 5.209 60.00 60.00 60.00
Sites, in units of the cell vectors:
Sr 0.000 0.000 0.000
Hg 0.500 0.500 0.500
Cl 0.250 0.250 0.250
Cl 0.750 0.750 0.750

Uncorrected formation energy, eV per formula unit: -6.4
E_tot, eV per atom: -3.202
Offset from the most stable computed form, meV per atom: 105

Below is a relaxed structure of HgMo2O, with properties calculated at the GGA-PBEsol level.

Lattice parameters (Å, degrees): 4.332 4.332 4.332 60.00 60.00 60.00
Sites, in units of the cell vectors:
Hg 0.000 0.000 0.000
Mo 0.250 0.250 0.250
Mo 0.750 0.750 0.750
O 0.500 0.500 0.500

Uncorrected formation energy, eV per formula unit: 3.1
E_tot, eV per atom: -6.569

Below is a relaxed structure of InSb2Pt, with properties calculated at the GGA-PBEsol level.

Lattice parameters (Å, degrees): 4.963 4.963 4.963 110.12 110.12 108.18
Sites, in units of the cell vectors:
In 0.000 0.000 0.000
Sb 0.000 0.500 0.500
Sb 0.500 0.000 0.500
Pt 0.500 0.500 0.000

Uncorrected formation energy, eV per formula unit: 0.0
E_tot, eV per atom: -4.756

Below is a relaxed structure of Fe2PtRh, with properties calculated at the GGA-PBEsol level.

Lattice parameters (Å, degrees): 2.660 3.639 5.317 90.00 90.00 90.00
Sites, in units of the cell vectors:
Fe 0.000 0.000 0.243
Fe 0.000 0.000 0.757
Pt 0.500 0.500 0.500
Rh 0.500 0.500 0.000

E_tot, eV per atom: -8.328